Record 1
K3AsPd: relaxed, GGA-PBE.

Values from the calculation:
Space-group type = Pm-3m (221)
DOS at the Fermi energy = 0.656 states/eV/atom
E_form = 1.362 eV per formula unit
Final energy = -2.355 eV/atom
Crystal system = cubic

a b c (Å): 5.9875 5.9875 5.9875
angles (deg): 90.00 90.00 90.00
Last column: nearest neighbours and their distance in Å.
Sites, in units of the cell vectors:
K1 0.0000 0.5000 0.0000  2 Pd 2.99
K2 0.5000 0.0000 0.0000  2 Pd 2.99
K3 0.0000 0.0000 0.5000  2 Pd 2.99
Pd1 0.0000 0.0000 0.0000  6 K 2.99
As1 0.5000 0.5000 0.5000  12 K 4.23

=====

Record 2
CaPuZnCu: relaxed, GGA-PBE.

Values from the calculation:
Space-group type = F-43m (216)
DOS at the Fermi energy = 2.929 states/eV/atom
E_form = 0.092 eV per formula unit
Final energy = -5.403 eV/atom
Crystal system = cubic

a b c (Å): 5.0489 5.0489 5.0489
angles (deg): 60.00 60.00 60.00
Last column: nearest neighbours and their distance in Å.
Sites, in units of the cell vectors:
Zn1 0.2500 0.2500 0.2500  4 Ca 3.09, 4 Pu 3.09
Cu1 0.7500 0.7500 0.7500  4 Ca 3.09, 4 Pu 3.09
Ca1 0.5000 0.5000 0.5000  4 Cu 3.09, 4 Zn 3.09
Pu1 0.0000 0.0000 0.0000  4 Cu 3.09, 4 Zn 3.09

=====

Record 3
Y5TmGe4: relaxed, GGA-PBE.

Values from the calculation:
Space-group type = C2/m (12)
DOS at the Fermi energy = 0.791 states/eV/atom
E_form = -6.184 eV per formula unit
Final energy = -6.145 eV/atom
Crystal system = monoclinic

a b c (Å): 4.5243 7.3425 9.9691
angles (deg): 120.44 103.12 90.00
Last column: nearest neighbours and their distance in Å.
Sites, in units of the cell vectors:
Ge1 0.9871 0.7228 0.9741  4 Y 2.76-2.93, 2 Tm 2.96
Ge2 0.3134 0.8483 0.6268  6 Y 2.91-3.11, 1 Tm 3.19
Ge3 0.6866 0.1517 0.3732  6 Y 2.91-3.11, 1 Tm 3.19
Ge4 0.0129 0.2772 0.0259  4 Y 2.76-2.93, 2 Tm 2.96
Y1 0.8408 0.1325 0.6816  4 Ge 2.93-3.07
Y2 0.1592 0.8675 0.3184  4 Ge 2.93-3.07
Y3 0.8291 0.6232 0.6582  3 Ge 2.76-2.91
Y4 0.5000 0.5000 0.0000  4 Ge 2.88
Y5 0.1709 0.3768 0.3418  3 Ge 2.76-2.91
Tm1 0.5000 0.0000 0.0000  6 Ge 2.96-3.19